The following is a DFT calculation (PBE) of SiRuRh2 after structural relaxation.

a = 2.8013 Å, b = 3.8401 Å, c = 5.3096 Å
α = 90.00°, β = 105.19°, γ = 90.00°
Closest atoms and distances in Å follow each position.
Atoms (fractional coordinates):
1 Si 0.0000 0.0000 0.0000  2 Ru 2.45, 5 Rh 2.45-2.54
2 Ru 0.8482 0.5000 0.7044  2 Si 2.45, 5 Rh 2.64-2.72
3 Rh 0.2344 0.0000 0.4775  1 Si 2.45, 4 Ru 2.64-2.65
4 Rh 0.5827 0.5000 0.1732  4 Si 2.53-2.54, 3 Ru 2.72-2.78, 2 Rh 2.80

Output
Formation energy without anion corrections: -127 kJ/mol of formula units
Electronic total energy: -7.679 eV/atom